Crystalline Na3Pm2CoO6 at its relaxed geometry. Source: the Alexandria database, functional PBE with a Hubbard U.

Cell and atoms, written as POSCAR:
```
Na3Pm2CoO6
1.0
2.9337 -5.0792 0.0000
2.9337 5.0792 0.0000
-1.8620 0.0000 5.6061
Na Pm Co O
3 2 1 6
direct
0.0000 0.0000 0.0000
0.3540 0.6460 0.0000
0.6460 0.3540 0.0000
0.1667 0.8333 0.5000
0.8333 0.1667 0.5000
0.5000 0.5000 0.5000
0.1365 0.4327 0.2921
0.2514 0.2514 0.7144
0.4327 0.1365 0.2921
0.5673 0.8635 0.7079
0.7486 0.7486 0.2856
0.8635 0.5673 0.7079
```

Calculated values
uncorrected energy = -73.5 eV for the cell shown
symmetry = C2/m